The following is a PBE-GGA calculation of a geometry-optimized AcLa6Sm2Tm structure, from Alexandria.

Output
**Formation energy**: 0.106 eV per atom
**Calculated density**: 6.92 g/cm³
**VASP energy**: -0.3420 Ry per atom

abc: 10.008 9.137 9.137
angles: 117.63 93.80 93.80
Element x y z (fractional)
La: 0.450 0.250 0.882
La: 0.810 0.444 0.995
La: 0.550 0.750 0.118
La: 0.119 0.704 0.495
La: 0.619 0.495 0.704
La: 0.381 0.505 0.296
La: 0.881 0.296 0.505
La: 0.310 0.995 0.444
La: 0.050 0.118 0.750
La: 0.690 0.005 0.556
La: 0.190 0.556 0.005
La: 0.950 0.882 0.250
Ac: 0.250 0.979 0.021
Ac: 0.750 0.021 0.979
Tm: 0.250 0.411 0.589
Tm: 0.750 0.589 0.411
Sm: 0.545 0.202 0.306
Sm: 0.455 0.798 0.694
Sm: 0.955 0.694 0.798
Sm: 0.045 0.306 0.202